{
  "formula": "Th8Tc3OsSe4",
  "functional": "PBE",
  "state": "relaxed",
  "cell": [[8.2450, 0.0000, 0.0000], [0.0000, 8.7260, 0.3282], [-4.1225, -4.1144, 5.8353]],
  "species": ["Th", "Th", "Th", "Th", "Th", "Th", "Th", "Th", "Tc", "Tc", "Tc", "Os", "Se", "Se", "Se", "Se"],
  "fractional_positions": [[0.2391, 0.7143, 0.9754], [0.2391, 0.7143, 0.4781], [0.2613, 0.2841, 0.5226], [0.7363, 0.7143, 0.9754], [0.2637, 0.2857, 0.0246], [0.7387, 0.7159, 0.4774], [0.7609, 0.2857, 0.5219], [0.7609, 0.2857, 0.0246], [0.5000, 0.5000, 0.0000], [0.5000, 0.5000, 0.5000], [0.0000, 0.5000, 0.5000], [0.0000, 0.5000, 0.0000], [0.5000, 0.0000, 0.0000], [0.5000, 0.0000, 0.5000], [0.0000, 0.0000, 0.0000], [0.0000, 0.0000, 0.5000]],
  "total_magnetization_mub_per_atom": 0.00,
  "spacegroup": "R-3m",
  "e_tot_ev_per_atom": -8.054
}

---

{
  "formula": "Ti2TcOsSe",
  "functional": "PBE",
  "state": "relaxed",
  "cell": [[4.7273, 0.0000, 0.0000], [0.0000, 4.5663, 0.0000], [0.0000, 0.0000, 4.7273]],
  "species": ["Os", "Tc", "Se", "Ti", "Ti"],
  "fractional_positions": [[0.0000, 0.0000, 0.0000], [0.5000, 0.5000, 0.5000], [0.0000, 0.5000, 0.0000], [0.0000, 0.0000, 0.5000], [0.5000, 0.0000, 0.0000]],
  "total_magnetization_mub_per_atom": 0.00,
  "spacegroup": "P4/mmm",
  "e_tot_ev_per_atom": -7.082
}

---

{
  "formula": "Te2OsSe",
  "functional": "PBE",
  "state": "relaxed",
  "cell": [[2.3080, 0.0000, 8.0702], [-1.1540, 1.9988, 8.0702], [-1.1540, -1.9988, 8.0702]],
  "species": ["Te", "Te", "Os", "Se"],
  "fractional_positions": [[0.8890, 0.8890, 0.8890], [0.1110, 0.1110, 0.1110], [0.5000, 0.5000, 0.5000], [0.0000, 0.0000, 0.0000]],
  "total_magnetization_mub_per_atom": 0.00,
  "spacegroup": "R-3m",
  "e_tot_ev_per_atom": -4.978
}

---

{
  "formula": "TeOsSe",
  "functional": "PBE",
  "state": "relaxed",
  "cell": [[-2.3631, 0.0993, 3.7850], [-0.8573, -3.7900, 2.1957], [2.0029, -0.8196, 3.9034]],
  "species": ["Os", "Se", "Te"],
  "fractional_positions": [[0.7500, 0.7500, 0.7500], [0.0000, 0.0000, 0.0000], [0.5000, 0.5000, 0.5000]],
  "total_magnetization_mub_per_atom": 0.00,
  "e_above_lowest_polymorph_mev_per_atom": 246.5,
  "spacegroup": "F-43m",
  "e_tot_ev_per_atom": -5.776
}

---

{
  "formula": "TeOsSe",
  "functional": "PBE",
  "state": "relaxed",
  "cell": [[-4.8708, -1.3263, -4.9415], [-6.2179, -3.1431, -1.1667], [4.5027, 4.1000, 3.5802]],
  "species": ["Os", "Se", "Te"],
  "fractional_positions": [[0.9873, 0.9873, 0.0000], [0.3817, 0.3817, 0.0000], [0.6310, 0.6310, 0.0000]],
  "total_magnetization_mub_per_atom": 0.00,
  "e_above_lowest_polymorph_mev_per_atom": 497.0,
  "spacegroup": "I4mm",
  "e_tot_ev_per_atom": -5.525
}

---

{
  "formula": "TeOs4Se",
  "functional": "PBE",
  "state": "relaxed",
  "cell": [[-4.4163, -1.5553, 2.4832], [-4.5079, -0.5817, -2.7258], [-1.9637, -4.8450, -0.8711]],
  "species": ["Te", "Os", "Os", "Os", "Os", "Se"],
  "fractional_positions": [[0.0000, 0.0000, 0.0000], [0.8751, 0.3750, 0.3750], [0.3750, 0.3750, 0.8751], [0.3750, 0.8751, 0.3750], [0.3750, 0.3750, 0.3750], [0.7500, 0.7500, 0.7500]],
  "total_magnetization_mub_per_atom": 0.00,
  "spacegroup": "F-43m",
  "e_tot_ev_per_atom": -7.319
}